[1]
Density functional theory data (PBE) for a relaxed structure of La4BiHPb.

Cell: 6.6923 6.7109 9.8695 Å, 90.00 109.82 90.00°
Last column: nearest neighbours and their distance in Å.
Sites, in units of the cell vectors:
La 0.9300 0.2500 0.8600  3 Pb 3.38-3.44, 2 Bi 3.44
La 0.4281 0.7500 0.8562  1 H 2.48
La 0.0700 0.7500 0.1400  3 Pb 3.38-3.44, 2 Bi 3.44
La 0.5719 0.2500 0.1438  1 H 2.48
La 0.5000 0.5000 0.5000  2 H 2.51
La 0.0000 0.0000 0.5000  2 H 2.51
La 0.5000 0.0000 0.5000  2 H 2.51
La 0.0000 0.5000 0.5000  2 H 2.51
Bi 0.6127 0.7500 0.2253  9 La 3.43-3.48, 2 H 3.77
Bi 0.3873 0.2500 0.7747  9 La 3.43-3.48, 2 H 3.77
H 0.2947 0.7500 0.5893  5 La 2.48-2.51
H 0.7053 0.2500 0.4107  5 La 2.48-2.51
Pb 0.1119 0.2500 0.2238  9 La 3.38-3.49, 2 H 3.77
Pb 0.8881 0.7500 0.7762  9 La 3.38-3.49, 2 H 3.77

Computed properties:
Electronic total energy: -5.0471 eV per atom
Symmetry: Cmcm

[2]
Density functional theory data (PBE) for a relaxed structure of La2BiHPd.

Cell: 5.3338 5.3338 4.0967 Å, 90.00 90.00 90.00°
Last column: nearest neighbours and their distance in Å.
Sites, in units of the cell vectors:
H 0.0000 0.0000 0.0000  2 Pd 2.05
Bi 0.5000 0.5000 0.5000  8 La 3.36
Pd 0.0000 0.0000 0.5000  2 H 2.05
La 0.0000 0.5000 0.0000  2 H 2.67
La 0.5000 0.0000 0.0000  2 H 2.67

Computed properties:
Electronic total energy: -5.1407 eV per atom
Symmetry: P4/mmm

[3]
Density functional theory data (PBE) for a relaxed structure of La2BiHPd6.

Cell: 5.8259 7.4463 7.4460 Å, 46.10 66.91 89.99°
Last column: nearest neighbours and their distance in Å.
Sites, in units of the cell vectors:
La 0.7365 0.2614 0.5249  6 Pd 3.01-3.02
La 0.2635 0.7386 0.4751  6 Pd 3.01-3.02
Bi 0.0000 0.0000 0.0000  6 Pd 2.77-2.78
H 0.5000 0.5000 0.0000  6 Pd 2.01
Pd 0.2765 0.2256 0.4434  1 H 2.01
Pd 0.7693 0.7208 0.9515  1 H 2.01
Pd 0.2765 0.7200 0.9490  1 H 2.01
Pd 0.7235 0.2800 0.0510  1 H 2.01
Pd 0.2307 0.2791 0.0485  1 H 2.01
Pd 0.7235 0.7744 0.5566  1 H 2.01

Computed properties:
Electronic total energy: -5.4406 eV per atom
Symmetry: C2/m

What did the second record say?
Density functional theory data (PBE) for a relaxed structure of La2BiHPd.

Cell: 5.3338 5.3338 4.0967 Å, 90.00 90.00 90.00°
Last column: nearest neighbours and their distance in Å.
Sites, in units of the cell vectors:
H 0.0000 0.0000 0.0000  2 Pd 2.05
Bi 0.5000 0.5000 0.5000  8 La 3.36
Pd 0.0000 0.0000 0.5000  2 H 2.05
La 0.0000 0.5000 0.0000  2 H 2.67
La 0.5000 0.0000 0.0000  2 H 2.67

Computed properties:
Electronic total energy: -5.1407 eV per atom
Symmetry: P4/mmm